Here is a relaxed ZnSiP2 crystal from the Alexandria database. Energies are from PBE.

a = 2.7170 Å, b = 2.7170 Å, c = 28.3636 Å
α = 90.00°, β = 90.00°, γ = 120.00°
With the nearest neighbours (Å) after each atom.
Atoms (fractional coordinates):
Zn1 0.0000 0.0000 0.0000  6 Zn 2.72, 6 P 3.00
Zn2 0.3333 0.6667 0.6667  6 Zn 2.72, 6 P 3.00
Zn3 0.6667 0.3333 0.3333  6 Zn 2.72, 6 P 3.00
Si1 0.0000 0.0000 0.5000  6 P 2.68, 6 Si 2.72
Si2 0.3333 0.6667 0.1667  6 P 2.68, 6 Si 2.72
Si3 0.6667 0.3333 0.8333  6 P 2.68, 6 Si 2.72
P1 0.0000 0.0000 0.2432  3 Si 2.68, 6 P 2.72, 3 Zn 3.00
P2 0.0000 0.0000 0.7568  3 Si 2.68, 6 P 2.72, 3 Zn 3.00
P3 0.3333 0.6667 0.4235  3 Si 2.68, 6 P 2.72, 3 Zn 3.00
P4 0.3333 0.6667 0.9099  3 Si 2.68, 6 P 2.72, 3 Zn 3.00
P5 0.6667 0.3333 0.0901  3 Si 2.68, 6 P 2.72, 3 Zn 3.00
P6 0.6667 0.3333 0.5765  3 Si 2.68, 6 P 2.72, 3 Zn 3.00

Output
Polymorph energy (0 for the lowest one), eV per atom: 0.835
Electronic total energy, eV/cell: -46.26
ΔE_f (raw), meV/atom: 524
Symmetry: R-3m, No. 166